# PrTlCu

A geometry-optimized PrTlCu structure (PBE, the Open Quantum Materials Database).

Output
Spin magnetization = 0.01 Bohr magnetons per cell
Total energy = -9.99 eV/f.u.

abc: 4.9978 4.9978 4.9978
angles: 60.00 60.00 60.00
Last column: nearest neighbours and their distance in Å.
Sites, in units of the cell vectors:
Cu 0.2500 0.2500 0.2500  4 Pr 3.06
Pr 0.0000 0.0000 0.0000  4 Tl 3.06, 4 Cu 3.06
Tl 0.7500 0.7500 0.7500  4 Pr 3.06